A:
Sc3TiF: optimized geometry, PBE.

Cell lengths 4.536, 4.536, 4.536 Å; angles 90.00, 90.00, 90.00 degrees
Atoms (fractional coordinates):
Sc  0.000  0.000  0.500
Sc  0.000  0.500  0.000
Sc  0.500  0.000  0.000
Ti  0.500  0.500  0.500
F  0.000  0.000  0.000

Calculated values
Fermi-level density of states: 7.23 states/eV/cell
total moment: 0.069 μB per formula unit


B:
Sc3TiF: optimized geometry, PBE.

Cell lengths 5.041, 5.041, 5.041 Å; angles 90.00, 90.00, 90.00 degrees
Atoms (fractional coordinates):
Sc  0.000  0.000  0.500
Sc  0.000  0.500  0.000
Sc  0.500  0.000  0.000
Ti  0.000  0.000  0.000
F  0.500  0.500  0.500

Calculated values
Fermi-level density of states: 1.84 states/eV/cell
total moment: 0.000 μB per formula unit


Relative energies, unit meV per atom: A 0; B 1158


A:
ScTiF2: optimized geometry, PBE.

Cell lengths 6.116, 6.116, 6.116 Å; angles 131.45, 131.45, 71.10 degrees
Atoms (fractional coordinates):
Sc  0.000  0.000  0.000
Sc  0.750  0.250  0.500
Ti  0.250  0.750  0.500
Ti  0.500  0.500  0.000
F  0.108  0.625  0.983
F  0.375  0.358  0.483
F  0.642  0.125  0.017
F  0.875  0.892  0.517

Calculated values
Fermi-level density of states: 4.19 states/eV/cell
total moment: 1.000 μB per formula unit


B:
ScTiF2: optimized geometry, PBE.

Cell lengths 7.567, 7.567, 7.567 Å; angles 22.60, 22.60, 22.60 degrees
Atoms (fractional coordinates):
Sc  0.000  0.000  0.000
Ti  0.500  0.500  0.500
F  0.404  0.404  0.404
F  0.596  0.596  0.596

Calculated values
Fermi-level density of states: 2.34 states/eV/cell
total moment: 1.178 μB per formula unit


Relative energies, unit meV per atom: A 156; B 0


A:
ScTi3F: optimized geometry, PBE.

Cell lengths 4.821, 4.821, 4.821 Å; angles 90.00, 90.00, 90.00 degrees
Atoms (fractional coordinates):
Sc  0.000  0.000  0.000
Ti  0.000  0.000  0.500
Ti  0.000  0.500  0.000
Ti  0.500  0.000  0.000
F  0.500  0.500  0.500

Calculated values
Fermi-level density of states: 9.74 states/eV/cell
total moment: 2.182 μB per formula unit


B:
ScTi3F: optimized geometry, PBE.

Cell lengths 4.337, 4.337, 4.337 Å; angles 90.00, 90.00, 90.00 degrees
Atoms (fractional coordinates):
Sc  0.000  0.000  0.000
Ti  0.000  0.500  0.500
Ti  0.500  0.000  0.500
Ti  0.500  0.500  0.000
F  0.500  0.500  0.500

Calculated values
Fermi-level density of states: 6.19 states/eV/cell
total moment: 0.000 μB per formula unit


Relative energies, unit meV per atom: A 1742; B 0


A:
Sc2TlF: optimized geometry, PBE.

Cell lengths 6.975, 6.975, 6.975 Å; angles 131.76, 131.76, 70.61 degrees
Atoms (fractional coordinates):
Sc  0.002  0.625  0.877
Sc  0.375  0.252  0.377
Sc  0.748  0.125  0.123
Sc  0.875  0.998  0.623
Tl  0.250  0.750  0.500
Tl  0.500  0.500  0.000
F  0.000  0.000  0.000
F  0.750  0.250  0.500

Calculated values
Fermi-level density of states: 5.60 states/eV/cell
total moment: 0.000 μB per formula unit


B:
Sc2TlF: optimized geometry, PBE.

Cell lengths 4.870, 4.870, 4.870 Å; angles 60.00, 60.00, 60.00 degrees
Atoms (fractional coordinates):
Sc  0.250  0.250  0.250
Sc  0.750  0.750  0.750
Tl  0.000  0.000  0.000
F  0.500  0.500  0.500

Calculated values
Fermi-level density of states: 0.56 states/eV/cell
total moment: 0.000 μB per formula unit


Relative energies, unit meV per atom: A 0; B 183


A:
ScTl3F6: optimized geometry, PBE.

Cell lengths 6.492, 6.492, 9.482 Å; angles 90.00, 90.00, 90.00 degrees
Atoms (fractional coordinates):
Sc  0.000  0.000  0.000
Sc  0.500  0.500  0.500
Tl  0.000  0.000  0.500
Tl  0.000  0.500  0.250
Tl  0.000  0.500  0.750
Tl  0.500  0.000  0.250
Tl  0.500  0.000  0.750
Tl  0.500  0.500  0.000
F  0.000  0.000  0.215
F  0.000  0.000  0.785
F  0.131  0.286  0.000
F  0.214  0.369  0.500
F  0.286  0.869  0.000
F  0.369  0.786  0.500
F  0.500  0.500  0.285
F  0.500  0.500  0.715
F  0.631  0.214  0.500
F  0.714  0.131  0.000
F  0.786  0.631  0.500
F  0.869  0.714  0.000

Calculated values
Fermi-level density of states: 0.00 states/eV/cell
total moment: 0.000 μB per formula unit


B:
ScTl3F6: optimized geometry, PBE.

Cell lengths 6.619, 6.619, 6.619 Å; angles 60.00, 60.00, 60.00 degrees
Atoms (fractional coordinates):
Sc  0.000  0.000  0.000
Tl  0.250  0.250  0.250
Tl  0.500  0.500  0.500
Tl  0.750  0.750  0.750
F  0.217  0.217  0.783
F  0.217  0.783  0.217
F  0.217  0.783  0.783
F  0.783  0.217  0.217
F  0.783  0.217  0.783
F  0.783  0.783  0.217

Calculated values
Fermi-level density of states: 0.00 states/eV/cell
total moment: 0.000 μB per formula unit


Relative energies, unit meV per atom: A 0; B 28


A:
ScTlF2: optimized geometry, PBE.

Cell lengths 7.041, 7.041, 7.041 Å; angles 134.00, 134.00, 67.09 degrees
Atoms (fractional coordinates):
Sc  0.000  0.000  0.000
Sc  0.750  0.250  0.500
Tl  0.250  0.750  0.500
Tl  0.500  0.500  0.000
F  0.375  0.127  0.252
F  0.873  0.125  0.248
F  0.875  0.123  0.748
F  0.877  0.625  0.752

Calculated values
Fermi-level density of states: 3.98 states/eV/cell
total moment: 0.000 μB per formula unit


B:
ScTlF2: optimized geometry, PBE.

Cell lengths 8.481, 8.481, 8.481 Å; angles 23.69, 23.69, 23.69 degrees
Atoms (fractional coordinates):
Sc  0.000  0.000  0.000
Tl  0.500  0.500  0.500
F  0.079  0.079  0.079
F  0.921  0.921  0.921

Calculated values
Fermi-level density of states: 1.30 states/eV/cell
total moment: 0.000 μB per formula unit


Relative energies, unit meV per atom: A 0; B 201


A:
ScTlF2: optimized geometry, PBE.

Cell lengths 4.543, 4.543, 4.543 Å; angles 60.00, 60.00, 60.00 degrees
Atoms (fractional coordinates):
Sc  0.000  0.000  0.000
Tl  0.500  0.500  0.500
F  0.250  0.250  0.250
F  0.750  0.750  0.750

Calculated values
Fermi-level density of states: 5.74 states/eV/cell
total moment: 0.000 μB per formula unit


B:
ScTlF2: optimized geometry, PBE.

Cell lengths 9.194, 9.194, 9.194 Å; angles 21.04, 21.04, 21.04 degrees
Atoms (fractional coordinates):
Sc  0.000  0.000  0.000
Tl  0.500  0.500  0.500
F  0.371  0.371  0.371
F  0.629  0.629  0.629

Calculated values
Fermi-level density of states: 2.10 states/eV/cell
total moment: 0.834 μB per formula unit


Relative energies, unit meV per atom: A 790; B 0


A:
ScTlF6: optimized geometry, PBE.

Cell lengths 5.390, 5.390, 10.032 Å; angles 90.00, 90.00, 120.00 degrees
Atoms (fractional coordinates):
Sc  0.000  0.000  0.000
Sc  0.000  0.000  0.500
Tl  0.333  0.667  0.250
Tl  0.667  0.333  0.750
F  0.031  0.322  0.119
F  0.031  0.710  0.381
F  0.290  0.322  0.381
F  0.290  0.969  0.119
F  0.322  0.031  0.619
F  0.322  0.290  0.881
F  0.678  0.710  0.119
F  0.678  0.969  0.381
F  0.710  0.031  0.881
F  0.710  0.678  0.619
F  0.969  0.290  0.619
F  0.969  0.678  0.881

Calculated values
Fermi-level density of states: 0.00 states/eV/cell
total moment: 0.001 μB per formula unit


B:
ScTlF6: optimized geometry, PBE.

Cell lengths 5.877, 5.877, 5.877 Å; angles 57.23, 57.23, 57.23 degrees
Atoms (fractional coordinates):
Sc  0.000  0.000  0.000
Tl  0.500  0.500  0.500
F  0.139  0.760  0.341
F  0.240  0.659  0.861
F  0.341  0.139  0.760
F  0.659  0.861  0.240
F  0.760  0.341  0.139
F  0.861  0.240  0.659

Calculated values
Fermi-level density of states: 0.00 states/eV/cell
total moment: 0.001 μB per formula unit


Relative energies, unit meV per atom: A 11; B 0